Entry 1:
Computed, not measured: Cs2USiO6 after structural relaxation at the PBE level of DFT.

a = 5.5773 Å, b = 5.5773 Å, c = 11.7638 Å
α = 90.00°, β = 90.00°, γ = 90.00°
Space group I4/mmm (No. 139)
Unique sites:
Cs  0.0000  0.5000  0.2500
U  0.0000  0.0000  0.0000
Si  0.0000  0.0000  0.5000
O  0.0000  0.0000  0.1624
O  0.2169  0.2169  0.5000

Values from the calculation:
* formation energy without anion corrections: -2.418 eV per atom
* E: -144.70 eV for the cell shown

Entry 2:
Computed, not measured: BeRu2Rh after structural relaxation at the PBE level of DFT.

a = 2.7248 Å, b = 3.6183 Å, c = 5.2645 Å
α = 90.00°, β = 90.00°, γ = 90.00°
Space group Pmm2 (No. 25)
Unique sites:
Be  0.0000  0.0000  0.0000
Ru  0.0000  0.0000  0.5031
Ru  0.5000  0.5000  0.7359
Rh  0.5000  0.5000  0.2072

Values from the calculation:
* E: -29.75 eV for the cell shown
* formation energy from the elements: -0.029 eV/atom

Entry 3:
Computed, not measured: ErSc2Cd after structural relaxation at the PBE level of DFT.

a = 4.5982 Å, b = 4.5982 Å, c = 4.6472 Å
α = 90.00°, β = 90.00°, γ = 90.00°
Space group P4/mmm (No. 123)
Unique sites:
Er  0.0000  0.0000  0.0000
Sc  0.0000  0.5000  0.5000
Cd  0.5000  0.5000  0.0000

Values from the calculation:
* E: -18.53 eV for the cell shown
* formation energy from the elements: -0.096 eV/atom

Entry 4:
Computed, not measured: CuPtIO6 after structural relaxation at the PBE level of DFT.

a = 5.2311 Å, b = 5.2311 Å, c = 9.1605 Å
α = 90.00°, β = 90.00°, γ = 120.00°
Space group P-31c (No. 163)
Unique sites:
Cu  0.0000  0.0000  0.0000
Pt  0.3333  0.6667  0.2500
I  0.3333  0.6667  0.7500
O  0.0072  0.3531  0.6325

Values from the calculation:
* formation energy without anion corrections: -0.319 eV per atom
* E: -88.62 eV for the cell shown

Entry 5:
Computed, not measured: Tb3Ho2Tm8 after structural relaxation at the PBE level of DFT.

a = 4.9546 Å, b = 7.8443 Å, c = 10.4996 Å
α = 85.74°, β = 76.35°, γ = 89.90°
Space group P-1 (No. 2)
Unique sites:
Tb  0.0000  0.0000  0.0000
Tb  0.4614  0.6929  0.0773
Ho  0.2311  0.8460  0.5381
Tm  0.0774  0.6145  0.8455
Tm  0.1546  0.2315  0.6909
Tm  0.3073  0.4608  0.3852
Tm  0.3839  0.0777  0.2318

Values from the calculation:
* E: -58.51 eV for the cell shown
* formation energy from the elements: 0.024 eV/atom

Entry 6:
Computed, not measured: FeHgP4 after structural relaxation at the PBE level of DFT.

a = 7.3228 Å, b = 7.3228 Å, c = 7.3228 Å
α = 90.00°, β = 90.00°, γ = 90.00°
Space group F-43m (No. 216)
Unique sites:
Fe  0.0000  0.0000  0.0000
Hg  0.2500  0.2500  0.7500
P  0.1278  0.1278  0.3722

Values from the calculation:
* E: -102.75 eV for the cell shown
* formation energy from the elements: 0.786 eV/atom

Entry 7:
Computed, not measured: CaTc after structural relaxation at the PBE level of DFT.

a = 2.8159 Å, b = 2.8159 Å, c = 4.9320 Å
α = 90.00°, β = 90.00°, γ = 90.00°
Space group P4/mmm (No. 123)
Unique sites:
Ca  0.0000  0.0000  0.0000
Tc  0.5000  0.5000  0.5000

Values from the calculation:
* E: -10.84 eV for the cell shown
* formation energy from the elements: 0.763 eV/atom

Entry 8:
Computed, not measured: ZnCuRe2 after structural relaxation at the PBE level of DFT.

a = 3.0561 Å, b = 4.2603 Å, c = 8.7772 Å
α = 90.00°, β = 90.00°, γ = 90.00°
Space group Cmmm (No. 65)
Unique sites:
Zn  0.0000  0.0000  0.0000
Cu  0.0000  0.0000  0.5000
Re  0.0000  0.5000  0.2543

Values from the calculation:
* E: -57.77 eV for the cell shown
* formation energy from the elements: 0.346 eV/atom

Entry 9:
Computed, not measured: CuGeI3 after structural relaxation at the PBE level of DFT.

a = 11.6127 Å, b = 9.5405 Å, c = 4.0569 Å
α = 90.00°, β = 90.14°, γ = 90.00°
Space group Cm (No. 8)
Unique sites:
Cu  0.0000  0.0000  0.0000
Ge  0.4445  0.0000  0.5059
I  0.2760  0.0000  0.0057
I  0.4916  0.3095  0.5006

Values from the calculation:
* formation energy without anion corrections: -0.067 eV per atom
* E: -27.40 eV for the cell shown

Entry 10:
Computed, not measured: Nd2SmDy2Tl after structural relaxation at the PBE level of DFT.

a = 6.6070 Å, b = 10.1641 Å, c = 5.7680 Å
α = 90.00°, β = 90.00°, γ = 90.00°
Space group Pnnm (No. 58)
Unique sites:
Nd  0.1888  0.1331  0.0000
Sm  0.0000  0.5000  0.0000
Dy  0.1891  0.2958  0.5000
Tl  0.0000  0.0000  0.5000

Values from the calculation:
* E: -51.44 eV for the cell shown
* formation energy from the elements: 0.017 eV/atom

Entry 11:
Computed, not measured: V3RePb after structural relaxation at the PBE level of DFT.

a = 4.6523 Å, b = 4.6523 Å, c = 4.6523 Å
α = 90.00°, β = 90.00°, γ = 90.00°
Space group Pm-3m (No. 221)
Unique sites:
V  0.0000  0.0000  0.5000
Re  0.0000  0.0000  0.0000
Pb  0.5000  0.5000  0.5000

Values from the calculation:
* E: -38.42 eV for the cell shown
* formation energy from the elements: 1.018 eV/atom

Entry 12:
Computed, not measured: Bi after structural relaxation at the PBE level of DFT.

a = 7.2871 Å, b = 7.2871 Å, c = 7.2871 Å
α = 90.00°, β = 90.00°, γ = 90.00°
Space group Fd-3m (No. 227, origin choice 2)
Unique sites:
Bi  0.1250  0.1250  0.1250

Values from the calculation:
* E: -29.45 eV for the cell shown
* formation energy from the elements: 0.199 eV/atom